Entry w
## Dy2Tm6In (PBE)

Data for a relaxed Dy2Tm6In crystal.

magnetization = 0.0 Bohr magnetons per cell
symmetry = C2/m, No. 12
density of states at the Fermi level = 1.317 states/eV per atom
mass density = 9.07 g cm⁻³

The structure in POSCAR format:
```
Dy2Tm6In
1.0
3.529 0.000 0.000
-1.764 5.234 -2.570
0.000 0.467 14.180
Dy Tm In
2 6 1
Cartesian
1.764 1.914 2.115 Dy
0.000 3.787 9.495 Dy
0.000 3.727 -0.335 Tm
1.764 1.974 11.945 Tm
1.764 1.990 7.050 Tm
0.000 0.192 4.639 Tm
1.764 5.510 6.970 Tm
0.000 3.711 4.559 Tm
0.000 0.000 0.000 In
```

=====

Entry x
## Dy2Tm6In (PBE)

Data for a relaxed Dy2Tm6In crystal.

magnetization = 0.0 Bohr magnetons per cell
symmetry = C2/c, No. 15
density of states at the Fermi level = 1.169 states/eV per atom
mass density = 9.02 g cm⁻³

The structure in POSCAR format:
```
Dy2Tm6In
1.0
6.036 -0.150 -0.146
1.268 9.521 1.289
1.268 1.597 9.474
Dy Tm In
4 12 2
Cartesian
4.319 6.585 8.141 Dy
1.236 2.693 4.373 Dy
4.254 4.383 2.477 Dy
7.337 8.275 6.245 Dy
4.296 7.164 4.777 Tm
1.258 6.036 3.685 Tm
4.276 3.804 5.841 Tm
7.314 4.931 6.933 Tm
4.341 1.110 3.280 Tm
7.250 7.578 9.542 Tm
4.231 9.857 7.338 Tm
1.323 3.390 1.076 Tm
3.047 7.386 1.118 Tm
2.508 9.686 3.345 Tm
5.526 3.582 9.500 Tm
6.065 1.281 7.273 Tm
2.777 2.590 8.373 In
5.795 8.377 2.245 In
```

=====

Relative energy table, unit meV per atom: entry w 0; entry x 41